Record 1
DFT (PBE) results for a geometry-optimized NaSrMg2Tl2 structure.

abc: 5.195 5.195 7.292
angles: 90.00 90.00 120.00
Sites, in units of the cell vectors:
Mg  0.667  0.333  0.299
Sr  0.000  0.000  0.000
Tl  0.333  0.667  0.249
Tl  0.667  0.333  0.751
Na  0.000  0.000  0.500
Mg  0.333  0.667  0.701

Values from the calculation:
Energy of formation from the pure elements (meV per atom): -171
Space group: P-3m1 (164)

---

Record 2
DFT (PBE) results for a geometry-optimized La5Pr4Er structure.

abc: 5.674 11.134 12.068
angles: 147.35 103.60 90.00
Sites, in units of the cell vectors:
La  0.231  0.357  0.461
La  0.769  0.643  0.539
Pr  0.646  0.026  0.291
La  0.500  0.500  0.000
La  0.824  0.089  0.648
Er  0.500  0.000  0.000
La  0.176  0.911  0.352
Pr  0.354  0.974  0.709
Pr  0.062  0.346  0.123
Pr  0.938  0.654  0.877

Values from the calculation:
Energy of formation from the pure elements (meV per atom): 140
Space group: C2/m (12)
Energy above the lowest structure with this stoichiometry (meV/atom): 121

---

Record 3
DFT (PBE) results for a geometry-optimized NaAc4Pb15 structure.

abc: 5.010 5.010 25.475
angles: 90.00 90.00 90.00
Sites, in units of the cell vectors:
Ac  0.000  0.000  0.601
Pb  0.500  0.000  0.907
Pb  0.000  0.500  0.702
Pb  0.500  0.500  0.194
Pb  0.500  0.000  0.500
Pb  0.500  0.500  0.806
Pb  0.000  0.500  0.093
Pb  0.500  0.500  0.601
Pb  0.500  0.000  0.702
Pb  0.500  0.500  0.000
Pb  0.000  0.500  0.500
Ac  0.000  0.000  0.801
Pb  0.500  0.000  0.298
Ac  0.000  0.000  0.199
Na  0.000  0.000  0.000
Pb  0.500  0.500  0.399
Pb  0.000  0.500  0.298
Ac  0.000  0.000  0.399
Pb  0.000  0.500  0.907
Pb  0.500  0.000  0.093

Values from the calculation:
Energy of formation from the pure elements (meV per atom): -344
Space group: P4/mmm (123)

---

Record 4
DFT (PBE) results for a geometry-optimized NbCrCo2 structure.

abc: 4.223 4.223 4.223
angles: 60.00 60.00 60.00
Site moments in Bohr magnetons follow the coordinates.
Sites, in units of the cell vectors:
Nb  0.500  0.500  0.500  -0.12
Cr  0.000  0.000  0.000  2.55
Co  0.750  0.750  0.750  1.20
Co  0.250  0.250  0.250  1.20

Values from the calculation:
Energy of formation from the pure elements (meV per atom): 27
Space group: Fm-3m (225)
Energy above the lowest structure with this stoichiometry (meV/atom): 10

---

Record 5
DFT (PBE) results for a geometry-optimized ZrTa2Ag structure.

abc: 3.990 3.990 10.675
angles: 79.23 79.23 90.00
Sites, in units of the cell vectors:
Ta  0.131  0.625  0.250
Ta  0.619  0.125  0.250
Ag  0.750  0.250  0.500
Ta  0.375  0.381  0.750
Ta  0.875  0.869  0.750
Ag  0.000  0.000  0.000
Zr  0.500  0.500  0.000
Zr  0.250  0.750  0.500

Values from the calculation:
Energy of formation from the pure elements (meV per atom): 612
Space group: I-42d (122)
Energy above the lowest structure with this stoichiometry (meV/atom): 514

---

Record 6
DFT (PBE) results for a geometry-optimized SrLa2HgS structure.

abc: 5.954 5.685 5.954
angles: 90.00 90.00 90.00
Site moments in Bohr magnetons follow the coordinates.
Sites, in units of the cell vectors:
Hg  0.000  0.000  0.000  0.01
Sr  0.500  0.500  0.500  0.05
S  0.000  0.500  0.000  -0.02
La  0.000  0.000  0.500  0.13
La  0.500  0.000  0.000  0.17

Values from the calculation:
Space group: P4/mmm (123)
Energy relative to the elements, uncorrected (eV/atom): 0.2036

---

Record 7
DFT (PBE) results for a geometry-optimized CoAg2Br structure.

abc: 4.766 4.766 6.668
angles: 80.09 80.09 38.62
Site moments in Bohr magnetons follow the coordinates.
Sites, in units of the cell vectors:
Ag  0.698  0.698  0.843  -0.02
Ag  0.948  0.948  0.034  -0.01
Co  0.208  0.208  0.175  1.79
Br  0.645  0.645  0.448  0.12

Values from the calculation:
Space group: Cm (8)
Energy above the lowest structure with this stoichiometry (meV/atom): 41
Energy relative to the elements, uncorrected (eV/atom): 0.3157

---

Record 8
DFT (PBE) results for a geometry-optimized CdNi3N structure.

abc: 7.162 7.162 7.162
angles: 38.77 38.77 38.77
Sites, in units of the cell vectors:
Ni  0.108  0.780  0.454
Cd  0.336  0.336  0.336
Ni  0.220  0.546  0.892
N  0.163  0.163  0.163
N  0.837  0.837  0.837
Ni  0.454  0.108  0.780
Ni  0.546  0.892  0.220
Ni  0.892  0.220  0.546
Ni  0.780  0.454  0.108
Cd  0.664  0.664  0.664

Values from the calculation:
Space group: R-3 (148)
Energy above the lowest structure with this stoichiometry (meV/atom): 234
Energy relative to the elements, uncorrected (eV/atom): 0.1696

---

Record 9
DFT (PBE) results for a geometry-optimized Dy4HoLu structure.

abc: 6.498 6.498 6.498
angles: 60.00 60.00 60.00
Sites, in units of the cell vectors:
Dy  0.625  0.125  0.625
Dy  0.125  0.625  0.625
Dy  0.625  0.625  0.125
Lu  0.250  0.250  0.250
Dy  0.625  0.625  0.625
Ho  0.000  0.000  0.000

Values from the calculation:
Energy of formation from the pure elements (meV per atom): 259
Space group: F-43m (216)

---

Record 10
DFT (PBE) results for a geometry-optimized Sr3TlAg2 structure.

abc: 3.855 5.754 9.024
angles: 108.59 90.00 90.00
Sites, in units of the cell vectors:
Sr  0.500  0.171  0.342
Sr  0.500  0.829  0.658
Tl  0.000  0.000  0.000
Sr  0.500  0.500  0.000
Ag  0.000  0.337  0.674
Ag  0.000  0.663  0.326

Values from the calculation:
Energy of formation from the pure elements (meV per atom): -313
Space group: Cmmm (65)

---

Record 11
DFT (PBE) results for a geometry-optimized CeDy3Sc2Se6 structure.

abc: 6.997 6.997 6.987
angles: 99.69 99.69 120.18
Site moments in Bohr magnetons follow the coordinates.
Sites, in units of the cell vectors:
Se  0.918  0.570  0.755  0.00
Sc  0.668  0.332  0.000  0.03
Dy  0.500  0.500  0.500  0.01
Se  0.731  0.731  0.238  0.00
Se  0.269  0.269  0.762  0.00
Ce  0.000  0.000  0.000  0.65
Sc  0.332  0.668  0.000  0.03
Se  0.082  0.430  0.245  0.00
Se  0.570  0.918  0.755  0.00
Se  0.430  0.082  0.245  0.00
Dy  0.160  0.840  0.500  0.01
Dy  0.840  0.160  0.500  0.01

Values from the calculation:
Space group: C2/m (12)
Energy relative to the elements, uncorrected (eV/atom): -1.6956

---

Record 12
DFT (PBE) results for a geometry-optimized CsEuF2 structure.

abc: 3.402 3.402 7.929
angles: 90.00 90.00 90.00
Site moments in Bohr magnetons follow the coordinates.
Sites, in units of the cell vectors:
F  0.000  0.000  0.165  -0.01
Eu  0.500  0.500  0.000  7.11
F  0.000  0.000  0.835  -0.01
Cs  0.500  0.500  0.500  0.02

Values from the calculation:
Space group: P4/mmm (123)
Energy relative to the elements, uncorrected (eV/atom): -2.2561

---

Record 13
DFT (PBE) results for a geometry-optimized RbIn5Ag2 structure.

abc: 4.593 7.451 7.451
angles: 68.26 72.05 72.05
Sites, in units of the cell vectors:
In  0.647  0.544  0.161
In  0.353  0.456  0.839
Ag  0.246  0.254  0.254
Ag  0.754  0.746  0.746
In  0.000  0.500  0.500
In  0.647  0.161  0.544
In  0.353  0.839  0.456
Rb  0.000  0.000  0.000

Values from the calculation:
Energy of formation from the pure elements (meV per atom): -70
Space group: Immm (71)

---

Record 14
DFT (PBE) results for a geometry-optimized CaScSb3 structure.

abc: 5.476 5.476 5.476
angles: 90.00 90.00 90.00
Sites, in units of the cell vectors:
Sb  0.000  0.000  0.500
Sb  0.500  0.000  0.000
Sc  0.000  0.000  0.000
Ca  0.500  0.500  0.500
Sb  0.000  0.500  0.000

Values from the calculation:
Space group: Pm-3m (221)
Energy above the lowest structure with this stoichiometry (meV/atom): 0
Energy relative to the elements, uncorrected (eV/atom): -0.2782

---

Record 15
DFT (PBE) results for a geometry-optimized Ca2TbDy structure.

abc: 5.844 5.844 5.844
angles: 60.00 60.00 60.00
Sites, in units of the cell vectors:
Ca  0.750  0.750  0.750
Tb  0.000  0.000  0.000
Dy  0.500  0.500  0.500
Ca  0.250  0.250  0.250

Values from the calculation:
Energy of formation from the pure elements (meV per atom): 184
Space group: Fm-3m (225)
Energy above the lowest structure with this stoichiometry (meV/atom): 5

---

Record 16
DFT (PBE) results for a geometry-optimized HoMg3 structure.

abc: 3.990 5.175 5.900
angles: 116.01 109.76 90.00
Sites, in units of the cell vectors:
Ho  0.000  0.917  0.000
Mg  0.236  0.653  0.473
Mg  0.764  0.180  0.527
Mg  0.500  0.417  0.000

Values from the calculation:
Energy of formation from the pure elements (meV per atom): 9
Space group: Immm (71)

---

Record 17
DFT (PBE) results for a geometry-optimized K2SbPt structure.

abc: 3.222 3.222 10.434
angles: 90.00 90.00 90.02
Sites, in units of the cell vectors:
K  0.000  0.000  0.027
Pt  0.500  0.500  0.250
Sb  0.500  0.500  0.750
K  0.000  0.000  0.473

Values from the calculation:
Space group: P4/mmm (123)
Energy relative to the elements, uncorrected (eV/atom): -0.0016

---

Record 18
DFT (PBE) results for a geometry-optimized TcHg4Se structure.

abc: 5.889 5.889 5.889
angles: 60.00 60.00 60.00
Site moments in Bohr magnetons follow the coordinates.
Sites, in units of the cell vectors:
Hg  0.875  0.375  0.375  0.01
Se  0.750  0.750  0.750  0.07
Hg  0.375  0.875  0.375  0.01
Hg  0.375  0.375  0.375  0.01
Tc  0.000  0.000  0.000  3.35
Hg  0.375  0.375  0.875  0.01

Values from the calculation:
Space group: F-43m (216)
Energy relative to the elements, uncorrected (eV/atom): 0.8243

---

Record 19
DFT (PBE) results for a geometry-optimized CaMnCo2 structure.

abc: 5.357 5.357 5.357
angles: 147.47 129.76 61.14
Site moments in Bohr magnetons follow the coordinates.
Sites, in units of the cell vectors:
Ca  0.240  0.740  0.500  -0.10
Co  0.765  0.265  0.500  1.44
Mn  0.528  0.528  0.000  3.58
Co  0.967  0.967  0.000  1.63

Values from the calculation:
Energy of formation from the pure elements (meV per atom): 386
Space group: Imm2 (44)
Energy above the lowest structure with this stoichiometry (meV/atom): 191

---

Record 20
DFT (PBE) results for a geometry-optimized CsRbTl2Pt structure.

abc: 5.486 5.486 6.555
angles: 90.00 90.00 90.00
Sites, in units of the cell vectors:
Rb  0.500  0.500  0.500
Pt  0.000  0.000  0.000
Tl  0.500  0.000  0.000
Tl  0.000  0.500  0.000
Cs  0.000  0.000  0.500

Values from the calculation:
Energy of formation from the pure elements (meV per atom): -25
Space group: P4/mmm (123)
Energy above the lowest structure with this stoichiometry (meV/atom): 34

---

Record 21
DFT (PBE) results for a geometry-optimized Pm8Dy3Mg2 structure.

abc: 7.355 12.047 6.379
angles: 77.47 70.59 52.94
Sites, in units of the cell vectors:
Dy  0.000  0.500  0.500
Pm  0.046  0.823  0.456
Pm  0.834  0.692  0.938
Pm  0.351  0.678  0.901
Mg  0.403  0.439  0.671
Pm  0.166  0.308  0.062
Pm  0.524  0.852  0.460
Pm  0.954  0.177  0.544
Pm  0.476  0.148  0.540
Dy  0.758  0.999  0.989
Mg  0.597  0.561  0.329
Dy  0.242  0.001  0.011
Pm  0.649  0.322  0.099

Values from the calculation:
Energy of formation from the pure elements (meV per atom): 75
Space group: P-1 (2)

---

Record 22
DFT (PBE) results for a geometry-optimized SeF3 structure.

abc: 8.745 8.745 8.745
angles: 19.45 19.45 19.45
Site moments in Bohr magnetons follow the coordinates.
Sites, in units of the cell vectors:
Se  0.000  0.000  0.000  -0.01
F  0.929  0.929  0.929  -0.01
F  0.500  0.500  0.500  0.82
F  0.071  0.071  0.071  -0.01

Values from the calculation:
Space group: R-3m (166)
Energy relative to the elements, uncorrected (eV/atom): -0.5551

---

Record 23
DFT (PBE) results for a geometry-optimized TbZr2Sc4 structure.

abc: 3.267 3.267 17.719
angles: 73.94 73.94 89.97
Sites, in units of the cell vectors:
Sc  0.136  0.136  0.576
Zr  0.563  0.563  0.292
Sc  0.266  0.266  0.157
Sc  0.864  0.864  0.424
Zr  0.437  0.437  0.708
Sc  0.734  0.734  0.843
Tb  0.000  0.000  0.000

Values from the calculation:
Energy of formation from the pure elements (meV per atom): 27
Space group: I4/mmm (139)
Energy above the lowest structure with this stoichiometry (meV/atom): 0

---

Record 24
DFT (PBE) results for a geometry-optimized K2TmI5 structure.

abc: 9.322 9.690 14.425
angles: 90.00 90.00 90.00
Sites, in units of the cell vectors:
I  0.095  0.750  0.813
I  0.905  0.250  0.187
I  0.083  0.250  0.512
I  0.170  0.548  0.062
I  0.358  0.250  0.300
I  0.170  0.952  0.062
Tm  0.577  0.750  0.494
K  0.416  0.508  0.830
I  0.917  0.750  0.488
Tm  0.423  0.250  0.506
I  0.830  0.452  0.938
I  0.670  0.452  0.438
I  0.330  0.548  0.562
K  0.084  0.992  0.330
K  0.916  0.008  0.670
I  0.405  0.750  0.313
I  0.595  0.250  0.687
K  0.416  0.992  0.830
Tm  0.923  0.750  0.994
K  0.584  0.492  0.170
I  0.642  0.750  0.700
I  0.330  0.952  0.562
I  0.142  0.250  0.800
Tm  0.077  0.250  0.006
I  0.830  0.048  0.938
I  0.583  0.750  0.988
I  0.670  0.048  0.438
I  0.417  0.250  0.012
I  0.858  0.750  0.200
K  0.084  0.508  0.330
K  0.916  0.492  0.670
K  0.584  0.008  0.170

Values from the calculation:
Space group: Pnma (62)
Energy above the lowest structure with this stoichiometry (meV/atom): 0
Energy relative to the elements, uncorrected (eV/atom): -1.4031

---

Record 25
DFT (PBE) results for a geometry-optimized Sr2MgCdRh structure.

abc: 5.788 5.788 5.016
angles: 90.00 90.00 90.00
Sites, in units of the cell vectors:
Sr  0.500  0.000  0.000
Sr  0.000  0.500  0.000
Mg  0.000  0.000  0.500
Cd  0.500  0.500  0.500
Rh  0.000  0.000  0.000

Values from the calculation:
Energy of formation from the pure elements (meV per atom): -174
Space group: P4/mmm (123)